The following is a GGA+U calculation of an optimized crystal structure of CaPm2MnO5, from the Alexandria database.

Geometry as CIF:
```
data_CaPm2MnO5
_chemical_formula_sum 'Ca2 Pm4 Mn2 O10'
_cell_length_a 6.666
_cell_length_b 6.666
_cell_length_c 5.698
_cell_angle_alpha 90.00
_cell_angle_beta 90.00
_cell_angle_gamma 90.00
_space_group_name_H-M_alt 'P 1'
_space_group_IT_number 1
loop_
_space_group_symop_operation_xyz
'x,y,z'
loop_
_atom_site_label
_atom_site_fract_x
_atom_site_fract_y
_atom_site_fract_z
Ca1 0.000 0.000 0.000
Ca2 0.500 0.500 0.000
Pm1 0.173 0.327 0.500
Pm2 0.327 0.827 0.500
Pm3 0.673 0.173 0.500
Pm4 0.827 0.673 0.500
Mn1 0.000 0.500 0.000
Mn2 0.500 0.000 0.000
O1 0.000 0.000 0.500
O2 0.140 0.640 0.240
O3 0.140 0.640 0.760
O4 0.360 0.140 0.240
O5 0.360 0.140 0.760
O6 0.500 0.500 0.500
O7 0.640 0.860 0.240
O8 0.640 0.860 0.760
O9 0.860 0.360 0.240
O10 0.860 0.360 0.760
```

Results
space group: P4/mbm (127)
theoretical density: 6.1 g/cm3
total moment: 6.00 μB per cell
final energy: -135.56 eV for the cell shown